A relaxed LaPmHgBr crystal, computed with GGA-PBE.

Its volume is 28.4 Å³/atom. The calculation puts the raw formation energy at -63.82 kJ/mol of atoms.

The structure belongs to space group F-43m (No. 216); the cell edges are 7.688, 7.688 and 7.688 Å and the angles 90.00°, 90.00° and 90.00°. The distinct sites, in fractional coordinates, are La at (0.000, 0.000, 0.000), Pm at (0.000, 0.000, 0.500), Hg at (0.250, 0.250, 0.250) and Br at (0.250, 0.250, 0.750).



A relaxed Ce2PmTmN4 crystal, computed with GGA-PBE.

Its volume is 15.7 Å³/atom. The calculation puts the raw formation energy at -149.54 kJ/mol of atoms.

The structure belongs to space group P2/m (No. 10); the cell edges are 6.122, 3.538 and 6.139 Å and the angles 90.00°, 109.46° and 90.00°. The distinct sites, in fractional coordinates, are Ce at (0.000, 0.000, 0.000), Ce at (0.000, 0.500, 0.500), Pm at (0.500, 0.000, 0.500), Tm at (0.500, 0.500, 0.000), N at (0.245, 0.500, 0.239) and N at (0.252, 0.000, 0.759).



A relaxed PaNi5H11 crystal, computed with GGA-PBE.

The calculation puts the final energy at -4.474 eV per atom. Its volume is 7.8 Å³/atom.

The structure belongs to space group C2/m (No. 12); the cell edges are 6.478, 9.047 and 4.873 Å and the angles 90.00°, 111.89° and 90.00°. The distinct sites, in fractional coordinates, are Pa at (0.000, 0.000, 0.000), Ni at (0.000, 0.500, 0.000), Ni at (0.210, 0.141, 0.627), H at (0.000, 0.000, 0.500), H at (0.094, 0.223, 0.317), H at (0.114, 0.500, 0.375) and H at (0.187, 0.373, 0.007).



A relaxed Na2AsRh2O6 crystal, computed with GGA-PBE.

Its volume is 12.3 Å³/atom. The calculation puts the raw formation energy at -105.28 kJ/mol of atoms.

The structure belongs to space group C2/m (No. 12); the cell edges are 5.408, 9.225 and 5.745 Å and the angles 90.00°, 109.38° and 90.00°. The distinct sites, in fractional coordinates, are Na at (0.000, 0.175, 0.000), As at (0.000, 0.000, 0.500), Rh at (0.000, 0.335, 0.500), O at (0.221, 0.158, 0.687) and O at (0.236, 0.000, 0.310).



A relaxed AlHgBr4 crystal, computed with GGA-PBE.

Its distance to the lowest polymorph of the same formula is 1.1551 eV/atom. Its volume is 31.1 Å³/atom. The calculation puts the raw formation energy at 37.67 kJ/mol of atoms.

The structure belongs to space group F-43m (No. 216); the cell edges are 9.069, 9.069 and 9.069 Å and the angles 90.00°, 90.00° and 90.00°. The distinct sites, in fractional coordinates, are Al at (0.000, 0.000, 0.000), Hg at (0.250, 0.250, 0.250) and Br at (0.125, 0.125, 0.625).



A relaxed LaSmNi2Ge2 crystal, computed with GGA-PBE.

Its formation energy is -725 meV/atom. Its volume is 20.6 Å³/atom.

The structure belongs to space group P-3m1 (No. 164); the cell edges are 4.1416, 4.1416 and 8.3168 Å and the angles 90.00°, 90.00° and 120.00°. The distinct sites, in fractional coordinates, are La at (0.0000, 0.0000, 0.0000), Sm at (0.0000, 0.0000, 0.5000), Ni at (0.3333, 0.6667, 0.7388) and Ge at (0.3333, 0.6667, 0.2583).



A relaxed LaBe2Al2 crystal, computed with GGA-PBE.

Its distance to the lowest polymorph of the same formula is 0.0000 eV/atom. Its formation energy is -203 meV/atom. Its volume is 17.8 Å³/atom.

The structure belongs to space group I4/mmm (No. 139); the cell edges are 4.211, 4.211 and 10.038 Å and the angles 90.00°, 90.00° and 90.00°. The distinct sites, in fractional coordinates, are La at (0.000, 0.000, 0.000), Be at (0.000, 0.500, 0.250) and Al at (0.000, 0.000, 0.367).



A relaxed Ta2MnZn crystal, computed with GGA-PBE.

Its formation energy is 52 meV/atom. Its volume is 15.5 Å³/atom.

The structure belongs to space group Cm (No. 8); the cell edges are 10.008, 3.105 and 4.428 Å and the angles 90.00°, 115.53° and 90.00°. The distinct sites, in fractional coordinates, are Ta at (0.000, 0.000, 0.000), Ta at (0.226, 0.000, 0.729), Mn at (0.218, 0.500, 0.228) and Zn at (0.450, 0.000, 0.449).



A relaxed Ba2Li12Mg3Cd crystal, computed with GGA-PBE.

Its formation energy is 96 meV/atom. Its volume is 26.3 Å³/atom.

The structure belongs to space group R-3m (No. 166, hexagonal axes); the cell edges are 7.0384, 7.0384 and 33.0496 Å and the angles 90.00°, 90.00° and 120.00°. The distinct sites, in fractional coordinates, are Ba at (0.0000, 0.0000, 0.1522), Li at (0.0567, 0.5283, 0.0932), Li at (0.0761, 0.5380, 0.6188), Mg at (0.0000, 0.5000, 0.0000) and Cd at (0.0000, 0.0000, 0.5000).



A relaxed ScIr2Au crystal, computed with GGA-PBE.

Its distance to the lowest polymorph of the same formula is 0.1913 eV/atom. Its formation energy is -309 meV/atom. Its volume is 16.5 Å³/atom.

The structure belongs to space group Cm (No. 8); the cell edges are 9.434, 2.965 and 4.810 Å and the angles 90.00°, 101.41° and 90.00°. The distinct sites, in fractional coordinates, are Sc at (0.000, 0.000, 0.000), Ir at (0.253, 0.500, 0.280), Ir at (0.490, 0.000, 0.471) and Au at (0.245, 0.000, 0.761).



A relaxed TaSi3O crystal, computed with GGA-PBE.

Its distance to the lowest polymorph of the same formula is 0.0000 eV/atom. Its volume is 13.5 Å³/atom. The calculation puts the raw formation energy at -0.86 kJ/mol of atoms.

The structure belongs to space group Pm-3m (No. 221); the cell edges are 4.067, 4.067 and 4.067 Å and the angles 90.00°, 90.00° and 90.00°. The distinct sites, in fractional coordinates, are Ta at (0.000, 0.000, 0.000), Si at (0.000, 0.500, 0.500) and O at (0.500, 0.500, 0.500).



A relaxed LuGaBi2 crystal, computed with GGA-PBE.

Its distance to the lowest polymorph of the same formula is 0.0000 eV/atom. Its formation energy is -283 meV/atom. Its volume is 27.2 Å³/atom.

The structure belongs to space group P4/mmm (No. 123); the cell edges are 4.141, 4.141 and 6.348 Å and the angles 90.00°, 90.00° and 90.00°. The distinct sites, in fractional coordinates, are Lu at (0.000, 0.000, 0.000), Ga at (0.000, 0.000, 0.500) and Bi at (0.500, 0.500, 0.248).



A relaxed Ca4MgAl2 crystal, computed with GGA-PBE.

Its formation energy is -121 meV/atom. Its volume is 30.4 Å³/atom.

The structure belongs to space group R-3m (No. 166, hexagonal axes); the cell edges are 5.3332, 5.3332 and 25.8998 Å and the angles 90.00°, 90.00° and 120.00°. The distinct sites, in fractional coordinates, are Ca at (0.0000, 0.0000, 0.1180), Ca at (0.0000, 0.0000, 0.3708), Mg at (0.0000, 0.0000, 0.5000) and Al at (0.0000, 0.0000, 0.2433).